The following is a DFT calculation (GGA-PBE) of La4TbSm2Tm after structural relaxation.

Output
symmetry: No. 47
DFT formation energy: 0.02 eV per atom
calculated total energy: -4.76 eV per atom

Lattice parameters (Å, degrees): 5.253 5.217 11.380 62.68 90.00 90.00
Element x y z (fractional)
Sm 0.500 0.000 0.500
Sm 0.000 0.000 0.000
La 0.500 0.250 0.749
La 0.500 0.750 0.251
La 0.000 0.751 0.749
La 0.000 0.249 0.251
Tb 0.500 0.500 0.000
Tm 0.000 0.500 0.500

---

The following is a DFT calculation (GGA-PBE) of AcHg2Sb2 after structural relaxation.

Output
symmetry: No. 63
energy relative to the elements, uncorrected: -441 meV/atom
calculated total energy: -3.03 eV per atom

Lattice parameters (Å, degrees): 4.705 4.700 13.473 90.00 100.06 90.00
Element x y z (fractional)
Sb 0.136 0.250 0.272
Sb 0.750 0.250 0.500
Sb 0.250 0.750 0.500
Sb 0.864 0.750 0.728
Hg 0.956 0.250 0.912
Hg 0.458 0.750 0.916
Hg 0.542 0.250 0.084
Hg 0.044 0.750 0.088
Ac 0.650 0.750 0.300
Ac 0.350 0.250 0.700

---

The following is a DFT calculation (GGA-PBE) of LiCeAu after structural relaxation.

Output
symmetry: No. 216
ΔE to the lowest computed polymorph: 4.25 kcal/mol of atoms
DFT formation energy: -0.27 eV per atom
calculated total energy: -3.98 eV per atom

Lattice parameters (Å, degrees): 4.854 4.854 4.854 60.00 60.00 60.00
Site moments in Bohr magnetons follow the coordinates.
Element x y z (fractional)
Li 0.000 0.000 0.000  0.02
Ce 0.500 0.500 0.500  1.05
Au 0.250 0.250 0.250  0.04

---

The following is a DFT calculation (GGA-PBE) of Pr8Sm2Tm after structural relaxation.

Output
symmetry: No. 71
ΔE to the lowest computed polymorph: 0.00 kcal/mol of atoms
DFT formation energy: 0.11 eV per atom
calculated total energy: -4.63 eV per atom

Lattice parameters (Å, degrees): 5.768 8.357 9.603 115.79 107.48 90.00
Element x y z (fractional)
Pr 0.000 0.292 0.000
Pr 0.635 0.430 0.270
Pr 0.635 0.840 0.270
Pr 0.840 0.840 0.679
Pr 0.365 0.570 0.730
Pr 0.160 0.160 0.321
Pr 0.000 0.708 0.000
Pr 0.365 0.160 0.730
Sm 0.201 0.701 0.403
Sm 0.799 0.299 0.597
Tm 0.500 0.000 0.000